(1)
The following is a PBE calculation of a relaxed structure of Pm3Ho2Er6Zr, from Alexandria.

Total moment: 0.000 μB/cell
Energy relative to the elements: 0.04 eV per atom
DFT total energy: -4.9013 eV/atom

Cell: 6.093 6.093 11.606 Å, 95.01 95.01 119.94°
Positions (direct):
Er  0.593  0.920  0.758
Er  0.080  0.407  0.242
Er  0.407  0.080  0.242
Er  0.920  0.593  0.758
Er  0.246  0.246  0.758
Er  0.754  0.754  0.242
Ho  0.667  0.333  0.000
Ho  0.333  0.667  0.000
Pm  0.500  0.500  0.500
Pm  0.834  0.166  0.500
Pm  0.166  0.834  0.500
Zr  0.000  0.000  0.000

(2)
The following is a PBE calculation of a relaxed structure of Er3TlRh, from Alexandria.

Total moment: 0.000 μB/cell
Energy relative to the elements: -0.51 eV per atom
DFT total energy: -5.1866 eV/atom

Cell: 5.805 5.805 8.790 Å, 102.06 102.05 111.51°
Positions (direct):
Er  0.300  0.427  0.727
Er  0.927  0.800  0.727
Er  0.700  0.573  0.273
Er  0.701  0.201  0.901
Er  0.299  0.799  0.099
Er  0.073  0.200  0.273
Tl  0.283  0.783  0.500
Tl  0.717  0.217  0.500
Rh  0.750  0.750  0.000
Rh  0.250  0.250  0.000

Q: The highest DFT total energy belongs to which entry?
A: Pm3Ho2Er6Zr